(1)
Compound: MnAgRh2
Source: Alexandria
Functional: PBEsol
Structure: optimized geometry

The value obtained for the excess energy over the best structure of this formula in the dataset is 0 meV per atom. The energy relative to the elements is 0.098 eV/atom. The symmetry is P4/mmm (123).

Cell lengths 2.6704, 2.6704, 7.5507 Å; angles 90.00, 90.00, 90.00 degrees
Fractional coordinates of all 4 atoms:
Mn: 0.0000 0.0000 0.0000
Ag: 0.0000 0.0000 0.5000
Rh: 0.5000 0.5000 0.2186
Rh: 0.5000 0.5000 0.7814

---

(2)
Compound: IrSe2
Source: Alexandria
Functional: PBEsol
Structure: optimized geometry

Its formation energy (no corrections) is -0.25 eV/atom. The symmetry is Cmcm (63).

Cell lengths 6.5274, 6.5274, 4.9354 Å; angles 90.00, 90.00, 146.54 degrees
Fractional coordinates of all 6 atoms:
Ir: 0.1620 0.8380 0.7500
Ir: 0.8380 0.1620 0.2500
Se: 0.2071 0.7929 0.2500
Se: 0.4650 0.5350 0.2500
Se: 0.5350 0.4650 0.7500
Se: 0.7929 0.2071 0.7500

---

(3)
Compound: La2YCu
Source: Alexandria
Functional: PBEsol
Structure: optimized geometry

The value obtained for the excess energy over the best structure of this formula in the dataset is 41 meV per atom. The energy relative to the elements is -0.013 eV/atom. The symmetry is Imm2 (44).

Cell lengths 6.4424, 6.4424, 6.4424 Å; angles 147.08, 130.09, 61.09 degrees
Fractional coordinates of all 4 atoms:
La: 0.0000 0.0000 0.0000
La: 0.7071 0.2071 0.5000
Y: 0.2925 0.7925 0.5000
Cu: 0.4887 0.4887 0.0000

---

(4)
Compound: MnOs3
Source: Alexandria
Functional: PBEsol
Structure: optimized geometry

The energy relative to the elements is 0.628 eV/atom. The symmetry is R-3m (166).

Cell lengths 4.9956, 4.9956, 4.9956 Å; angles 116.94, 116.94, 116.94 degrees
Fractional coordinates of all 4 atoms:
Mn: 0.0000 0.0000 0.0000
Os: 0.0000 0.5000 0.5000
Os: 0.5000 0.0000 0.5000
Os: 0.5000 0.5000 0.0000

---

(5)
Compound: ZrTaCo4
Source: Alexandria
Functional: PBEsol
Structure: optimized geometry

The energy relative to the elements is -0.281 eV/atom. The symmetry is F-43m (216).

Cell lengths 4.7494, 4.7494, 4.7494 Å; angles 60.00, 60.00, 60.00 degrees
Fractional coordinates of all 6 atoms:
Zr: 0.0000 0.0000 0.0000
Ta: 0.2500 0.2500 0.2500
Co: 0.1256 0.6248 0.6248
Co: 0.6248 0.1256 0.6248
Co: 0.6248 0.6248 0.1256
Co: 0.6248 0.6248 0.6248

---

(6)
Compound: Ba2YTc
Source: Alexandria
Functional: PBEsol
Structure: optimized geometry

The value obtained for the excess energy over the best structure of this formula in the dataset is 416 meV per atom. The energy relative to the elements is 0.839 eV/atom. The symmetry is I4/mmm (139).

Cell lengths 6.3717, 6.3717, 6.3717 Å; angles 137.92, 137.92, 61.02 degrees
Fractional coordinates of all 4 atoms:
Ba: 0.2500 0.7500 0.5000
Ba: 0.7500 0.2500 0.5000
Y: 0.0000 0.0000 0.0000
Tc: 0.5000 0.5000 0.0000

---

(7)
Compound: ErZn3P3
Source: Alexandria
Functional: PBEsol
Structure: optimized geometry

The energy relative to the elements is -0.592 eV/atom. The symmetry is P6_3/mmc (194).

Cell lengths 3.9351, 3.9351, 19.4151 Å; angles 90.00, 90.00, 120.00 degrees
Fractional coordinates of all 14 atoms:
Er: 0.0000 0.0000 0.0000
Er: 0.0000 0.0000 0.5000
Zn: 0.3333 0.6667 0.1274
Zn: 0.3333 0.6667 0.3726
Zn: 0.3333 0.6667 0.7500
Zn: 0.6667 0.3333 0.2500
Zn: 0.6667 0.3333 0.6274
Zn: 0.6667 0.3333 0.8726
P: 0.3333 0.6667 0.2500
P: 0.3333 0.6667 0.5834
P: 0.3333 0.6667 0.9166
P: 0.6667 0.3333 0.0834
P: 0.6667 0.3333 0.4166
P: 0.6667 0.3333 0.7500

---

(8)
Compound: NaBe3As
Source: Alexandria
Functional: PBEsol
Structure: optimized geometry

The energy relative to the elements is 0.890 eV/atom. The symmetry is Pm-3m (221).

Cell lengths 4.4191, 4.4191, 4.4191 Å; angles 90.00, 90.00, 90.00 degrees
Fractional coordinates of all 5 atoms:
Na: 0.0000 0.0000 0.0000
Be: 0.0000 0.5000 0.5000
Be: 0.5000 0.0000 0.5000
Be: 0.5000 0.5000 0.0000
As: 0.5000 0.5000 0.5000

---

These records have DOS(E_F) values of 4.74 0.67 4.93 6.28 8.37 5.51 0.18 3.35 states/eV/f.u., in the order they appear.